Record 1
A geometry-optimized CoSiTe2 structure. Source: the Alexandria database, functional PBE. Values from VASP.

Summary:
Space-group type   Cmmm (65)
DFT total energy   -4.354 eV per atom

```
&SYSTEM
  ibrav = 0, nat = 4, ntyp = 3
/
ATOMIC_SPECIES
Co 58.93 Co.upf
Si 28.09 Si.upf
Te 127.60 Te.upf
ATOMIC_POSITIONS crystal
Co 0.500 0.250 0.250
Si 0.500 0.750 0.750
Te 0.000 0.040 0.040
Te 0.000 0.460 0.460
CELL_PARAMETERS angstrom
-2.621 0.790 -2.635
-3.532 -0.703 3.302
-0.970 4.237 2.236
```



Record 2
A geometry-optimized Co3SiTe structure. Source: the Alexandria database, functional PBE. Values from VASP.

Summary:
Space-group type   Pm-3m (221)
Offset from the most stable computed form   385 kJ/mol of formula units

```
&SYSTEM
  ibrav = 0, nat = 5, ntyp = 3
/
ATOMIC_SPECIES
Si 28.09 Si.upf
Te 127.60 Te.upf
Co 58.93 Co.upf
ATOMIC_POSITIONS crystal
Si 0.500 0.500 0.500
Te 0.000 0.000 0.000
Co 0.000 0.500 0.000
Co 0.000 0.000 0.500
Co 0.500 0.000 0.000
CELL_PARAMETERS angstrom
4.630 0.000 0.000
0.000 4.630 0.000
0.000 0.000 4.630
```



Record 3
A geometry-optimized Co3SiTe structure. Source: the Alexandria database, functional PBE. Values from VASP.

Summary:
Space-group type   Pm-3m (221)
Offset from the most stable computed form   0 kJ/mol of formula units

```
&SYSTEM
  ibrav = 0, nat = 5, ntyp = 3
/
ATOMIC_SPECIES
Si 28.09 Si.upf
Te 127.60 Te.upf
Co 58.93 Co.upf
ATOMIC_POSITIONS crystal
Si 0.000 0.000 0.000
Te 0.500 0.500 0.500
Co 0.000 0.500 0.000
Co 0.000 0.000 0.500
Co 0.500 0.000 0.000
CELL_PARAMETERS angstrom
-3.726 0.104 -2.096
-2.096 -0.381 3.708
-0.097 4.258 0.383
```



Record 4
A geometry-optimized ThCo2Si2 structure. Source: the Alexandria database, functional PBE. Values from VASP.

Summary:
Space-group type   I4/mmm (139)
DFT total energy   -7.301 eV per atom

```
&SYSTEM
  ibrav = 0, nat = 5, ntyp = 3
/
ATOMIC_SPECIES
Th 232.04 Th.upf
Co 58.93 Co.upf
Si 28.09 Si.upf
ATOMIC_POSITIONS crystal
Th 0.000 0.000 0.000
Co 0.250 0.750 0.500
Co 0.750 0.250 0.500
Si 0.633 0.633 0.000
Si 0.367 0.367 0.000
CELL_PARAMETERS angstrom
-4.804 2.679 -1.055
-4.139 -2.804 -2.524
3.462 -0.743 4.339
```



Record 5
A geometry-optimized Th3CoSi structure. Source: the Alexandria database, functional PBE. Values from VASP.

Summary:
Space-group type   C2/m (12)
DFT total energy   -7.348 eV per atom

```
&SYSTEM
  ibrav = 0, nat = 10, ntyp = 3
/
ATOMIC_SPECIES
Th 232.04 Th.upf
Co 58.93 Co.upf
Si 28.09 Si.upf
ATOMIC_POSITIONS crystal
Th 0.062 0.157 0.408
Th 0.411 0.855 0.661
Th 0.633 0.299 0.760
Th 0.982 0.997 0.014
Th 0.270 0.574 0.026
Th 0.774 0.580 0.395
Co 0.228 0.490 0.629
Co 0.816 0.664 0.793
Si 0.420 0.872 0.278
Si 0.624 0.282 0.143
CELL_PARAMETERS angstrom
3.982 0.001 0.001
-1.988 7.502 0.191
0.002 -0.103 8.295
```



Record 6
A geometry-optimized Th3Co2Si4 structure. Source: the Alexandria database, functional PBE. Values from VASP.

Summary:
Space-group type   C2/m (12)
Offset from the most stable computed form   69 kJ/mol of formula units

```
&SYSTEM
  ibrav = 0, nat = 9, ntyp = 3
/
ATOMIC_SPECIES
Th 232.04 Th.upf
Co 58.93 Co.upf
Si 28.09 Si.upf
ATOMIC_POSITIONS crystal
Th 0.615 0.230 0.688
Th 0.000 0.000 0.000
Th 0.385 0.770 0.312
Co 0.699 0.398 0.366
Co 0.301 0.602 0.634
Si 0.720 0.441 0.076
Si 0.280 0.559 0.924
Si 0.889 0.777 0.605
Si 0.111 0.223 0.395
CELL_PARAMETERS angstrom
4.099 0.000 0.000
-2.049 5.490 -0.100
0.000 -2.355 7.773
```



Record 7
A geometry-optimized Th3Co2Si4 structure. Source: the Alexandria database, functional PBE. Values from VASP.

Summary:
Space-group type   C2/m (12)
Offset from the most stable computed form   0 kJ/mol of formula units

```
&SYSTEM
  ibrav = 0, nat = 9, ntyp = 3
/
ATOMIC_SPECIES
Th 232.04 Th.upf
Co 58.93 Co.upf
Si 28.09 Si.upf
ATOMIC_POSITIONS crystal
Th 0.664 0.328 0.658
Th 0.000 0.000 0.000
Th 0.336 0.672 0.342
Co 0.601 0.202 0.274
Co 0.399 0.798 0.726
Si 0.723 0.445 0.071
Si 0.277 0.555 0.929
Si 0.944 0.887 0.619
Si 0.056 0.113 0.381
CELL_PARAMETERS angstrom
4.087 0.000 0.000
-2.044 5.385 -0.852
0.000 -0.120 8.071
```



Record 8
A geometry-optimized Th3Co3Si2 structure. Source: the Alexandria database, functional PBE. Values from VASP.

Summary:
Space-group type   Cmcm (63)
DFT total energy   -7.363 eV per atom

```
&SYSTEM
  ibrav = 0, nat = 16, ntyp = 3
/
ATOMIC_SPECIES
Th 232.04 Th.upf
Co 58.93 Co.upf
Si 28.09 Si.upf
ATOMIC_POSITIONS crystal
Th 0.922 0.844 0.391
Th 0.078 0.156 0.891
Th 0.922 0.844 0.109
Th 0.078 0.156 0.609
Th 0.637 0.274 0.250
Th 0.363 0.726 0.750
Co 0.627 0.254 0.461
Co 0.373 0.746 0.961
Co 0.627 0.254 0.039
Co 0.373 0.746 0.539
Co 0.319 0.639 0.250
Co 0.681 0.361 0.750
Si 0.787 0.573 0.910
Si 0.213 0.427 0.410
Si 0.787 0.573 0.590
Si 0.213 0.427 0.090
CELL_PARAMETERS angstrom
4.082 0.000 0.000
-2.041 5.357 0.000
0.000 0.000 13.836
```



Record 9
A geometry-optimized ThCo5Si2 structure. Source: the Alexandria database, functional PBE. Values from VASP.

Summary:
Space-group type   Immm (71)
DFT total energy   -7.176 eV per atom

```
&SYSTEM
  ibrav = 0, nat = 8, ntyp = 3
/
ATOMIC_SPECIES
Th 232.04 Th.upf
Co 58.93 Co.upf
Si 28.09 Si.upf
ATOMIC_POSITIONS crystal
Th 0.000 0.000 0.000
Co 0.000 0.500 0.500
Co 0.644 0.547 0.166
Co 0.356 0.453 0.834
Co 0.356 0.834 0.453
Co 0.644 0.166 0.547
Si 0.762 0.738 0.738
Si 0.238 0.262 0.262
CELL_PARAMETERS angstrom
-3.010 -2.008 0.488
1.154 -4.040 4.151
-2.230 1.315 5.309
```



Record 10
A geometry-optimized Th3Co2Si3 structure. Source: the Alexandria database, functional PBE. Values from VASP.

Summary:
Space-group type   Cmcm (63)
DFT total energy   -7.315 eV per atom

```
&SYSTEM
  ibrav = 0, nat = 16, ntyp = 3
/
ATOMIC_SPECIES
Th 232.04 Th.upf
Co 58.93 Co.upf
Si 28.09 Si.upf
ATOMIC_POSITIONS crystal
Th 0.854 0.708 0.407
Th 0.146 0.292 0.907
Th 0.854 0.708 0.093
Th 0.146 0.292 0.593
Th 0.572 0.143 0.250
Th 0.428 0.857 0.750
Co 0.859 0.718 0.877
Co 0.141 0.282 0.377
Co 0.859 0.718 0.623
Co 0.141 0.282 0.123
Si 0.579 0.159 0.446
Si 0.421 0.841 0.946
Si 0.579 0.159 0.054
Si 0.421 0.841 0.554
Si 0.284 0.568 0.250
Si 0.716 0.432 0.750
CELL_PARAMETERS angstrom
-1.089 -0.636 -3.823
-3.528 -2.814 3.593
-9.008 12.018 0.567
```



Record 11
A geometry-optimized Th2Co5Si2 structure. Source: the Alexandria database, functional PBE. Values from VASP.

Summary:
Space-group type   P4/mmm (123)
DFT total energy   -7.287 eV per atom

```
&SYSTEM
  ibrav = 0, nat = 9, ntyp = 3
/
ATOMIC_SPECIES
Th 232.04 Th.upf
Co 58.93 Co.upf
Si 28.09 Si.upf
ATOMIC_POSITIONS crystal
Th 0.000 0.000 0.000
Th 0.000 0.000 0.500
Co 0.500 0.000 0.272
Co 0.500 0.000 0.728
Co 0.000 0.500 0.272
Co 0.000 0.500 0.728
Co 0.500 0.500 0.500
Si 0.500 0.500 0.156
Si 0.500 0.500 0.844
CELL_PARAMETERS angstrom
-2.967 0.124 -2.707
2.595 -1.029 -2.891
-1.661 -8.239 1.441
```



Record 12
A geometry-optimized Th2Co4Si3 structure. Source: the Alexandria database, functional PBE. Values from VASP.

Summary:
Space-group type   Cmce (64)
DFT total energy   -7.227 eV per atom

```
&SYSTEM
  ibrav = 0, nat = 18, ntyp = 3
/
ATOMIC_SPECIES
Th 232.04 Th.upf
Co 58.93 Co.upf
Si 28.09 Si.upf
ATOMIC_POSITIONS crystal
Th 0.107 0.585 0.215
Th 0.893 0.415 0.785
Th 0.393 0.085 0.785
Th 0.607 0.915 0.215
Co 0.678 0.750 0.856
Co 0.822 0.250 0.144
Co 0.322 0.250 0.144
Co 0.178 0.750 0.856
Co 0.178 0.986 0.356
Co 0.822 0.014 0.644
Co 0.322 0.486 0.644
Co 0.678 0.514 0.356
Si 0.000 0.000 0.000
Si 0.500 0.500 0.000
Si 0.520 0.750 0.539
Si 0.980 0.250 0.461
Si 0.480 0.250 0.461
Si 0.020 0.750 0.539
CELL_PARAMETERS angstrom
-3.715 1.551 -3.683
-4.498 -4.312 2.722
-0.468 4.545 6.427
```



Record 13
A geometry-optimized Th4Co7Si6 structure. Source: the Alexandria database, functional PBE. Values from VASP.

Summary:
Space-group type   Im-3m (229)
DFT total energy   -7.206 eV per atom

```
&SYSTEM
  ibrav = 0, nat = 17, ntyp = 3
/
ATOMIC_SPECIES
Th 232.04 Th.upf
Co 58.93 Co.upf
Si 28.09 Si.upf
ATOMIC_POSITIONS crystal
Th 0.500 0.000 0.000
Th 0.500 0.500 0.500
Th 0.000 0.500 0.000
Th 0.000 0.000 0.500
Co 0.750 0.500 0.250
Co 0.250 0.750 0.500
Co 0.500 0.750 0.250
Co 0.750 0.250 0.500
Co 0.250 0.500 0.750
Co 0.500 0.250 0.750
Co 0.000 0.000 0.000
Si 0.653 0.000 0.653
Si 0.653 0.653 0.000
Si 0.000 0.347 0.347
Si 0.347 0.000 0.347
Si 0.347 0.347 0.000
Si 0.000 0.653 0.653
CELL_PARAMETERS angstrom
-3.259 -4.105 -4.886
-0.348 -3.185 6.410
-3.257 6.375 0.320
```